# 1
{
  "formula": "Tl12Se5F",
  "functional": "PBE",
  "state": "optimized geometry",
  "spacegroup": "C2/m (12)",
  "final_energy_ev_per_atom": -3.12,
  "formation_energy_uncorrected_kj_per_mol_fu": -816,
  "magnetic_moment_mub_per_fu": 0.00,
  "lattice_angstrom": [[3.733, -6.431, 0.000], [3.733, 6.431, 0.000], [-2.633, 0.000, 12.638]],
  "species": ["Tl", "Tl", "Tl", "Tl", "Tl", "Tl", "Tl", "Tl", "Tl", "Tl", "Tl", "Tl", "Se", "Se", "Se", "Se", "Se", "F"],
  "fractional_positions": [[0.049, 0.356, 0.133], [0.117, 0.117, 0.365], [0.216, 0.546, 0.642], [0.261, 0.261, 0.870], [0.356, 0.049, 0.133], [0.454, 0.784, 0.358], [0.546, 0.216, 0.642], [0.644, 0.951, 0.867], [0.739, 0.739, 0.130], [0.784, 0.454, 0.358], [0.883, 0.883, 0.635], [0.951, 0.644, 0.867], [0.171, 0.829, 0.500], [0.332, 0.668, 0.000], [0.500, 0.500, 0.500], [0.668, 0.332, 0.000], [0.829, 0.171, 0.500], [0.000, 0.000, 0.000]]
}

# 2
{
  "formula": "Cr2CoPb",
  "functional": "PBE",
  "state": "optimized geometry",
  "e_form_mev_per_atom": 888.4,
  "spacegroup": "I-42d (122)",
  "final_energy_ev_per_atom": -6.63,
  "magnetic_moment_mub_per_fu": 3.05,
  "lattice_angstrom": [[6.946, 0.000, 0.000], [0.000, 6.946, 0.000], [0.000, 0.000, 5.395]],
  "species": ["Cr", "Cr", "Cr", "Cr", "Cr", "Cr", "Cr", "Cr", "Co", "Co", "Co", "Co", "Pb", "Pb", "Pb", "Pb"],
  "fractional_positions": [[0.187, 0.250, 0.125], [0.250, 0.687, 0.375], [0.250, 0.813, 0.875], [0.313, 0.250, 0.625], [0.687, 0.750, 0.625], [0.750, 0.187, 0.875], [0.750, 0.313, 0.375], [0.813, 0.750, 0.125], [0.000, 0.000, 0.000], [0.000, 0.500, 0.250], [0.500, 0.000, 0.750], [0.500, 0.500, 0.500], [0.000, 0.000, 0.500], [0.000, 0.500, 0.750], [0.500, 0.000, 0.250], [0.500, 0.500, 0.000]]
}

# 3
{
  "formula": "Na2PaAlO5",
  "functional": "PBE",
  "state": "optimized geometry",
  "spacegroup": "P4/mmm (123)",
  "final_energy_ev_per_atom": -6.81,
  "formation_energy_uncorrected_kj_per_mol_fu": -1992,
  "magnetic_moment_mub_per_fu": 0.08,
  "lattice_angstrom": [[4.241, 0.000, 0.000], [0.000, 4.241, 0.000], [0.000, 0.000, 7.856]],
  "species": ["Na", "Na", "Pa", "Al", "O", "O", "O", "O", "O"],
  "fractional_positions": [[0.000, 0.000, 0.233], [0.000, 0.000, 0.767], [0.500, 0.500, 0.000], [0.500, 0.500, 0.500], [0.000, 0.000, 0.500], [0.000, 0.500, 0.000], [0.500, 0.000, 0.000], [0.500, 0.500, 0.280], [0.500, 0.500, 0.720]]
}

# 4
{
  "formula": "Ca2PrAl",
  "functional": "PBE",
  "state": "optimized geometry",
  "e_form_mev_per_atom": 139.7,
  "spacegroup": "R-3m (166)",
  "de_polymorph_ev_per_fu": 0.90,
  "final_energy_ev_per_atom": -2.99,
  "magnetic_moment_mub_per_fu": 0.00,
  "lattice_angstrom": [[3.574, 0.000, 0.000], [-1.787, 3.095, 0.000], [0.000, 0.000, 36.137]],
  "species": ["Ca", "Ca", "Ca", "Ca", "Ca", "Ca", "Pr", "Pr", "Pr", "Al", "Al", "Al"],
  "fractional_positions": [[0.000, 0.000, 0.099], [0.000, 0.000, 0.901], [0.333, 0.667, 0.568], [0.333, 0.667, 0.765], [0.667, 0.333, 0.235], [0.667, 0.333, 0.432], [0.000, 0.000, 0.000], [0.333, 0.667, 0.667], [0.667, 0.333, 0.333], [0.000, 0.000, 0.500], [0.333, 0.667, 0.167], [0.667, 0.333, 0.833]]
}

| no. | density (g/cm³) |
| --- | --- |
| 1 | 7.8 |
| 2 | 9.4 |
| 3 | 4.5 |
| 4 | 3.1 |